Material: Li3VF5
Method: DFT, PBE+U
State: relaxed

Output
* spin magnetization: 9.00 μB/cell
* relative energy among the computed polymorphs: 7 meV per atom
* raw total energy: -5.269 eV per atom
* SG: P3_121

abc: 4.9376 4.9376 13.7163
angles: 90.00 90.00 120.00
Last column: nearest neighbours and their distance in Å.
Fractional coordinates of all 27 atoms:
Li1 0.0001 0.6419 0.9177  4 F 1.94-1.99
Li2 0.0000 0.6924 0.1667  4 F 1.93-1.97
Li3 0.6418 0.9999 0.5844  4 F 1.94-1.99
Li4 0.6924 0.0000 0.8333  4 F 1.93-1.97
Li5 0.3581 0.3582 0.2511  4 F 1.94-1.99
Li6 0.3582 0.3581 0.7489  4 F 1.94-1.99
Li7 0.9999 0.6418 0.4156  4 F 1.94-1.99
Li8 0.3076 0.3076 0.5000  4 F 1.93-1.97
Li9 0.6419 0.0001 0.0823  4 F 1.94-1.99
F1 0.8860 0.2309 0.4669  3 Li 1.95-1.99, 1 V 2.10
F2 0.3448 0.1140 0.1335  3 Li 1.95-1.99, 1 V 2.10
F3 0.5773 0.5725 0.6023  2 Li 1.93-1.99, 1 V 2.05
F4 0.1140 0.3448 0.8665  3 Li 1.95-1.99, 1 V 2.10
F5 0.2309 0.8860 0.5331  3 Li 1.95-1.99, 1 V 2.10
F6 0.0048 0.4275 0.0644  2 Li 1.93-1.99, 1 V 2.05
F7 0.5725 0.5773 0.3977  2 Li 1.93-1.99, 1 V 2.05
F8 0.2547 0.0000 0.3333  2 Li 1.94
F9 0.4227 0.9952 0.7310  2 Li 1.93-1.99, 1 V 2.05
F10 0.6552 0.7691 0.1998  3 Li 1.95-1.99, 1 V 2.10
F11 0.0000 0.2547 0.6667  2 Li 1.94
F12 0.7691 0.6552 0.8002  3 Li 1.95-1.99, 1 V 2.10
F13 0.7453 0.7453 0.0000  2 Li 1.94
F14 0.9952 0.4227 0.2690  2 Li 1.93-1.99, 1 V 2.05
F15 0.4275 0.0048 0.9356  2 Li 1.93-1.99, 1 V 2.05
V1 0.7063 0.0000 0.3333  5 F 2.05-2.23
V2 0.0000 0.7063 0.6667  5 F 2.05-2.23
V3 0.2937 0.2937 0.0000  5 F 2.05-2.23